! ScCr2Cu (PBE, relaxed); values from VASP
&SYSTEM
  ibrav = 0, nat = 4, ntyp = 3
/
ATOMIC_SPECIES
Cr 52.00 Cr.upf
Cu 63.55 Cu.upf
Sc 44.96 Sc.upf
CELL_PARAMETERS angstrom
4.6028 0.0000 0.0000
0.0000 2.6901 0.0065
0.0000 0.5831 4.5950
ATOMIC_POSITIONS angstrom
Cr 0.0000 1.4184 2.3612
Cr 0.0000 0.8012 4.5346
Cu 2.3014 0.8183 1.1504
Sc 2.3014 2.4548 3.4511
! * energy of formation from the pure elements: 0.39 eV per atom
! * electronic total energy: -7.03 eV/atom
! * relative energy among the computed polymorphs: 261 meV/atom



! Sc2CrCu2 (PBE, relaxed); values from VASP
&SYSTEM
  ibrav = 0, nat = 5, ntyp = 3
/
ATOMIC_SPECIES
Sc 44.96 Sc.upf
Cu 63.55 Cu.upf
Cr 52.00 Cr.upf
CELL_PARAMETERS angstrom
-1.4491 2.0252 -2.2192
-2.2036 -2.3913 -0.7433
-6.6972 2.5436 4.1876
ATOMIC_POSITIONS angstrom
Sc -7.5242 1.8011 1.5431
Sc -2.8258 0.3765 -0.3181
Cu -4.9864 2.1929 0.2435
Cu -5.3636 -0.0153 0.9815
Cr 0.0000 0.0000 0.0000
! * energy of formation from the pure elements: 0.20 eV per atom
! * electronic total energy: -5.90 eV/atom
! * relative energy among the computed polymorphs: 2 meV/atom



! ScCrCu (PBE, relaxed); values from VASP
&SYSTEM
  ibrav = 0, nat = 12, ntyp = 3
/
ATOMIC_SPECIES
Cu 63.55 Cu.upf
Sc 44.96 Sc.upf
Cr 52.00 Cr.upf
CELL_PARAMETERS angstrom
4.3833 0.0000 0.0103
0.0000 3.5764 0.0000
-0.0254 0.0000 12.1525
ATOMIC_POSITIONS angstrom
Cu 2.0401 1.7882 5.9094
Cu 2.0291 1.7882 10.1402
Cu 2.0418 0.0000 4.0643
Cu 2.0274 0.0000 11.9853
Sc 2.0527 1.7882 1.9250
Sc 2.0400 0.0000 8.0013
Sc 4.2241 0.0000 10.1764
Sc 4.2368 1.7882 4.1003
Cr 4.2355 0.0000 6.1859
Cr 4.2452 0.0000 1.6145
Cr 4.2325 1.7882 7.6908
Cr 4.2482 1.7882 0.1095
! * energy of formation from the pure elements: 0.10 eV per atom
! * electronic total energy: -6.59 eV/atom
! * relative energy among the computed polymorphs: 75 meV/atom